GGA-PBE DyThCoCu, optimized geometry; magnetic moment = 0.0 μB/cell; excess energy over the best structure of this formula in the dataset = 0 meV/atom; energy of formation = -0.285 eV/atom; calculated volume = 85.3 Å³/cell
1.0
3.804 0.000 0.000
0.000 3.869 0.000
-1.902 0.000 5.798
Dy Th Co Cu
1 1 1 1
Direct
0.150 0.000 0.299 Dy
0.873 0.500 0.747 Th
0.406 0.000 0.812 Co
0.571 0.500 0.142 Cu

=====

GGA-PBE ZrReHg, optimized geometry; magnetic moment = 0.0 μB/cell; excess energy over the best structure of this formula in the dataset = 72 meV/atom; energy of formation = 0.289 eV/atom; calculated volume = 56.9 Å³/cell
1.0
5.247 -0.004 -0.002
2.727 4.483 0.002
-3.554 -3.010 2.417
Hg Re Zr
1 1 1
Direct
0.995 0.995 0.000 Hg
0.331 0.331 0.000 Re
0.674 0.674 0.000 Zr

=====

GGA-PBE BaSrCa2Tl, optimized geometry; magnetic moment = 0.0 μB/cell; excess energy over the best structure of this formula in the dataset = 0 meV/atom; energy of formation = -0.079 eV/atom; calculated volume = 245.4 Å³/cell
1.0
6.171 0.000 0.000
0.000 6.171 0.000
0.000 0.000 6.445
Sr Tl Ca Ba
1 1 2 1
Direct
0.000 0.000 0.500 Sr
0.000 0.000 0.000 Tl
0.000 0.500 0.000 Ca
0.500 0.000 0.000 Ca
0.500 0.500 0.500 Ba

=====

GGA-PBE CsTiTlBr6, optimized geometry; magnetic moment = 0.0 μB/cell; formation energy from raw total energies = -11.184 eV per formula unit; calculated volume = 393.9 Å³/cell
1.0
7.857 0.004 0.001
3.932 6.802 -0.001
0.002 -0.003 7.372
Cs Ti Tl Br
1 1 1 6
Direct
0.000 0.000 0.000 Cs
0.333 0.333 0.500 Ti
0.666 0.667 0.500 Tl
0.069 0.337 0.300 Br
0.337 0.069 0.700 Br
0.594 0.337 0.700 Br
0.069 0.595 0.700 Br
0.337 0.594 0.299 Br
0.595 0.069 0.300 Br

=====

GGA-PBE Sr2AcAg2Ge2, optimized geometry; magnetic moment = 0.1 μB/cell; energy of formation = -0.469 eV/atom; calculated volume = 223.5 Å³/cell
1.0
-1.912 -3.368 -2.523
2.645 -3.364 -1.746
-1.458 -8.780 8.591
Sr Ac Ag Ge
2 1 2 2
Direct
0.114 0.114 0.659 Sr
0.886 0.886 0.341 Sr
0.000 0.000 0.000 Ac
0.607 0.607 0.179 Ag
0.393 0.393 0.821 Ag
0.724 0.724 0.828 Ge
0.276 0.276 0.172 Ge

=====

GGA-PBE Er2ZrGe2Rh5, optimized geometry; magnetic moment = 0.0 μB/cell; energy of formation = -0.881 eV/atom; calculated volume = 349.5 Å³/cell
1.0
3.649 0.000 0.000
0.000 9.786 0.000
0.000 0.000 9.786
Er Zr Ge Rh
4 2 4 10
Direct
0.000 0.673 0.173 Er
0.000 0.327 0.827 Er
0.000 0.173 0.327 Er
0.000 0.827 0.673 Er
0.000 0.000 0.000 Zr
0.000 0.500 0.500 Zr
0.000 0.125 0.625 Ge
0.000 0.875 0.375 Ge
0.000 0.625 0.875 Ge
0.000 0.375 0.125 Ge
0.500 0.210 0.068 Rh
0.500 0.790 0.932 Rh
0.500 0.068 0.790 Rh
0.500 0.710 0.432 Rh
0.500 0.932 0.210 Rh
0.500 0.290 0.568 Rh
0.500 0.568 0.710 Rh
0.500 0.432 0.290 Rh
0.500 0.500 0.000 Rh
0.500 0.000 0.500 Rh

=====

GGA-PBE Hg2RhW, optimized geometry; magnetic moment = 0.0 μB/cell; excess energy over the best structure of this formula in the dataset = 831 meV/atom; energy of formation = 1.062 eV/atom; calculated volume = 156.4 Å³/cell
1.0
7.575 0.000 0.000
0.000 7.575 0.000
3.787 3.787 2.726
Rh Hg W
2 4 2
Direct
0.500 0.500 0.000 Rh
0.250 0.750 0.500 Rh
0.620 0.125 0.250 Hg
0.130 0.625 0.250 Hg
0.375 0.380 0.750 Hg
0.875 0.870 0.750 Hg
0.000 0.000 0.000 W
0.750 0.250 0.500 W

=====

GGA-PBE CsSn2GeBr8, optimized geometry; magnetic moment = 0.0 μB/cell; formation energy from raw total energies = -9.656 eV per formula unit; calculated volume = 492.7 Å³/cell
1.0
-6.171 -1.181 3.419
1.750 -5.890 4.026
2.249 4.019 8.703
Cs Sn Ge Br
1 2 1 8
Direct
0.000 0.000 0.500 Cs
0.453 0.445 0.745 Sn
0.547 0.555 0.255 Sn
0.000 0.000 0.000 Ge
0.173 0.746 0.213 Br
0.717 0.779 0.028 Br
0.786 0.208 0.179 Br
0.827 0.254 0.787 Br
0.283 0.221 0.972 Br
0.214 0.792 0.821 Br
0.624 0.719 0.460 Br
0.376 0.281 0.540 Br